## a
Crystalline AgSn2As2 at its relaxed geometry, computed with PBE.

For the total moment, the calculation gives 0.00 μB/cell. The mass density is 6.599 Mg/m³.

The structure belongs to space group I4/mmm (No. 139); the cell edges are 5.546, 5.546 and 8.102 Å and the angles 90.00°, 90.00° and 90.00°. Symmetry generates all atoms from Ag at (0.000, 0.000, 0.000), Sn at (0.000, 0.500, 0.250) and As at (0.000, 0.000, 0.332).

=====

## b
Crystalline AgSn2As2 at its relaxed geometry, computed with PBE.

For the total moment, the calculation gives 0.00 μB/cell. The mass density is 6.883 Mg/m³.

The structure belongs to space group I4/mmm (No. 139); the cell edges are 3.808, 3.808 and 16.471 Å and the angles 90.00°, 90.00° and 90.00°. Symmetry generates all atoms from Ag at (0.000, 0.000, 0.000), Sn at (0.000, 0.000, 0.403) and As at (0.000, 0.500, 0.250).

=====

Which of them is the most stable, and which is the least stable? a and b, in that order.

=====

## a
Crystalline AgSn2As2 at its relaxed geometry, computed with PBE.

For the total moment, the calculation gives 0.00 μB/cell. The mass density is 6.980 Mg/m³.

The structure belongs to space group P4/mbm (No. 127); the cell edges are 7.761, 7.761 and 3.912 Å and the angles 90.00°, 90.00° and 90.00°. Symmetry generates all atoms from Ag at (0.000, 0.000, 0.000), Sn at (0.153, 0.347, 0.500) and As at (0.162, 0.662, 0.000).

=====

## b
Crystalline AgSn2As2 at its relaxed geometry, computed with PBE.

For the total moment, the calculation gives 0.00 μB/cell. The mass density is 7.046 Mg/m³.

The structure belongs to space group P4/mbm (No. 127); the cell edges are 7.890, 7.890 and 3.749 Å and the angles 90.00°, 90.00° and 90.00°. Symmetry generates all atoms from Ag at (0.000, 0.000, 0.000), Sn at (0.152, 0.348, 0.000) and As at (0.150, 0.650, 0.500).

=====

Which of them is the most stable, and which is the least stable? a and b, in that order.